1.
Here is an optimized crystal structure of KRbCoBr4 from Alexandria via LeMat-Bulk. Energies are from GGA-PBE.

a = 7.449 Å, b = 7.594 Å, c = 9.539 Å
α = 90.00°, β = 108.47°, γ = 90.00°
Fractional coordinates of all 14 atoms:
K: 0.220 0.250 0.049
K: 0.780 0.750 0.951
Rb: 0.277 0.250 0.573
Rb: 0.723 0.750 0.427
Co: 0.215 0.750 0.802
Co: 0.785 0.250 0.198
Br: 0.004 0.502 0.748
Br: 0.004 0.998 0.748
Br: 0.392 0.750 0.060
Br: 0.410 0.750 0.643
Br: 0.590 0.250 0.357
Br: 0.608 0.250 0.940
Br: 0.996 0.002 0.252
Br: 0.996 0.498 0.252

E_form (uncorrected)   -1155 meV per atom
Space group   No. 11

2.
Here is an optimized crystal structure of KRb2CoBr6 from Alexandria via LeMat-Bulk. Energies are from GGA-PBE.

a = 7.813 Å, b = 7.903 Å, c = 13.540 Å
α = 90.00°, β = 124.80°, γ = 90.00°
Fractional coordinates of all 20 atoms:
K: 0.000 0.000 0.000
K: 0.000 0.500 0.500
Rb: 0.266 0.055 0.753
Rb: 0.266 0.445 0.253
Rb: 0.734 0.555 0.747
Rb: 0.734 0.945 0.247
Co: 0.500 0.000 0.500
Co: 0.500 0.500 0.000
Br: 0.217 0.007 0.286
Br: 0.217 0.493 0.786
Br: 0.283 0.673 0.037
Br: 0.283 0.827 0.537
Br: 0.366 0.243 0.034
Br: 0.366 0.257 0.534
Br: 0.634 0.743 0.466
Br: 0.634 0.757 0.966
Br: 0.717 0.173 0.463
Br: 0.717 0.327 0.963
Br: 0.783 0.507 0.214
Br: 0.783 0.993 0.714

Energy above the lowest structure with this stoichiometry   0 meV/atom
E_form (uncorrected)   -1133 meV per atom
Space group   No. 14

3.
Here is an optimized crystal structure of KRb2CoBr6 from Alexandria via LeMat-Bulk. Energies are from GGA-PBE.

a = 7.860 Å, b = 7.860 Å, c = 7.860 Å
α = 60.00°, β = 60.00°, γ = 60.00°
Fractional coordinates of all 10 atoms:
K: 0.000 0.000 0.000
Rb: 0.250 0.250 0.250
Rb: 0.750 0.750 0.750
Co: 0.500 0.500 0.500
Br: 0.282 0.282 0.718
Br: 0.282 0.718 0.282
Br: 0.282 0.718 0.718
Br: 0.718 0.282 0.282
Br: 0.718 0.282 0.718
Br: 0.718 0.718 0.282

Energy above the lowest structure with this stoichiometry   11 meV/atom
E_form (uncorrected)   -1122 meV per atom
Space group   No. 225

4.
Here is an optimized crystal structure of KCoRe2Br from Alexandria via LeMat-Bulk. Energies are from GGA-PBE.

a = 4.726 Å, b = 4.726 Å, c = 4.630 Å
α = 90.00°, β = 90.00°, γ = 90.00°
Fractional coordinates of all 5 atoms:
K: 0.000 0.000 0.000
Co: 0.500 0.500 0.000
Re: 0.000 0.500 0.500
Re: 0.500 0.000 0.500
Br: 0.500 0.500 0.500

Energy above the lowest structure with this stoichiometry   0 meV/atom
E_form (uncorrected)   2157 meV per atom
Space group   No. 123

The evaluated calculated volume for the records listed, in turn: 512, 686, 343, 103 Å³/cell.